# 1
# LiPrPPt2 GGA-PBE relaxed
# M_tot = 0.0 μB per formula unit
# symmetry = No. 44
data_LiPrPPt2
_chemical_formula_sum 'Li1 Pr1 P1 Pt2'
_symmetry_space_group_name_H-M 'P 1'
_symmetry_Int_Tables_number 1
_cell_length_a 6.258
_cell_length_b 6.258
_cell_length_c 6.258
_cell_angle_alpha 143.44
_cell_angle_beta 141.01
_cell_angle_gamma 54.52
loop_
_symmetry_equiv_pos_as_xyz
'x,y,z'
loop_
_atom_site_label
_atom_site_type_symbol
_atom_site_fract_x
_atom_site_fract_y
_atom_site_fract_z
_atom_site_occupancy
Li1 Li 0.000 0.000 0.000 1
Pr1 Pr 0.756 0.256 0.500 1
P1 P 0.372 0.872 0.500 1
Pt1 Pt 0.159 0.659 0.500 1
Pt2 Pt 0.490 0.490 0.000 1

=====

# 2
# LiPr2P3Rh4 GGA-PBE relaxed
# M_tot = 0.0 μB per formula unit
# symmetry = No. 115
data_LiPr2P3Rh4
_chemical_formula_sum 'Li1 Pr2 P3 Rh4'
_symmetry_space_group_name_H-M 'P 1'
_symmetry_Int_Tables_number 1
_cell_length_a 4.099
_cell_length_b 4.099
_cell_length_c 9.905
_cell_angle_alpha 90.00
_cell_angle_beta 90.00
_cell_angle_gamma 90.00
loop_
_symmetry_equiv_pos_as_xyz
'x,y,z'
loop_
_atom_site_label
_atom_site_type_symbol
_atom_site_fract_x
_atom_site_fract_y
_atom_site_fract_z
_atom_site_occupancy
Li1 Li 0.000 0.000 0.000 1
Pr1 Pr 0.000 0.500 0.755 1
Pr2 Pr 0.500 0.000 0.245 1
P1 P 0.000 0.500 0.362 1
P2 P 0.500 0.000 0.638 1
P3 P 0.500 0.500 0.000 1
Rh1 Rh 0.000 0.000 0.500 1
Rh2 Rh 0.000 0.500 0.126 1
Rh3 Rh 0.500 0.000 0.874 1
Rh4 Rh 0.500 0.500 0.500 1

=====

# 3
# LiPr2P3Rh12 GGA-PBE relaxed
# M_tot = 0.0 μB per formula unit
# symmetry = No. 166
data_LiPr2P3Rh12
_chemical_formula_sum 'Li1 Pr2 P3 Rh12'
_symmetry_space_group_name_H-M 'P 1'
_symmetry_Int_Tables_number 1
_cell_length_a 6.996
_cell_length_b 6.996
_cell_length_c 6.996
_cell_angle_alpha 74.79
_cell_angle_beta 74.79
_cell_angle_gamma 74.79
loop_
_symmetry_equiv_pos_as_xyz
'x,y,z'
loop_
_atom_site_label
_atom_site_type_symbol
_atom_site_fract_x
_atom_site_fract_y
_atom_site_fract_z
_atom_site_occupancy
Li1 Li 0.000 0.000 0.000 1
Pr1 Pr 0.389 0.389 0.389 1
Pr2 Pr 0.611 0.611 0.611 1
P1 P 0.000 0.000 0.500 1
P2 P 0.000 0.500 0.000 1
P3 P 0.500 0.000 0.000 1
Rh1 Rh 0.086 0.667 0.667 1
Rh2 Rh 0.145 0.145 0.650 1
Rh3 Rh 0.145 0.650 0.145 1
Rh4 Rh 0.333 0.333 0.914 1
Rh5 Rh 0.333 0.914 0.333 1
Rh6 Rh 0.350 0.855 0.855 1
Rh7 Rh 0.650 0.145 0.145 1
Rh8 Rh 0.667 0.086 0.667 1
Rh9 Rh 0.667 0.667 0.086 1
Rh10 Rh 0.855 0.350 0.855 1
Rh11 Rh 0.855 0.855 0.350 1
Rh12 Rh 0.914 0.333 0.333 1

=====

The records above give, respectively, electronic total energy values of -5.799, -6.750, -6.686 eV/atom.